# 1
# KFeCuSe2S | the Open Quantum Materials Database | GGA-PBE | relaxed
data_KFeCuSe2S
_symmetry_space_group_name_H-M 'P 1'
_symmetry_Int_Tables_number 1
_cell_length_a 7.4444
_cell_length_b 7.4444
_cell_length_c 9.6700
_cell_angle_alpha 90.00
_cell_angle_beta 90.00
_cell_angle_gamma 151.62
loop_
_symmetry_equiv_pos_as_xyz
'x,y,z'
loop_
_atom_site_label
_atom_site_type_symbol
_atom_site_fract_x
_atom_site_fract_y
_atom_site_fract_z
K1 K 0.2455 0.7545 0.7500
K2 K 0.7545 0.2455 0.2500
Fe1 Fe 0.5000 0.5000 0.0000
Fe2 Fe 0.5000 0.5000 0.5000
Cu1 Cu 0.0331 0.9669 0.2500
Cu2 Cu 0.9669 0.0331 0.7500
Se1 Se 0.1125 0.8875 0.0353
Se2 Se 0.1125 0.8875 0.4647
Se3 Se 0.8875 0.1125 0.5353
Se4 Se 0.8875 0.1125 0.9647
S1 S 0.4415 0.5585 0.2500
S2 S 0.5585 0.4415 0.7500
# space group: Cmcm (63)
# mass density: 4.54 g cm⁻³
# VASP energy: -0.32818 Ry per atom

---

# 2
# KFeCuTe2S | the Open Quantum Materials Database | GGA-PBE | relaxed
data_KFeCuTe2S
_symmetry_space_group_name_H-M 'P 1'
_symmetry_Int_Tables_number 1
_cell_length_a 7.8308
_cell_length_b 7.8308
_cell_length_c 10.1249
_cell_angle_alpha 90.00
_cell_angle_beta 90.00
_cell_angle_gamma 151.85
loop_
_symmetry_equiv_pos_as_xyz
'x,y,z'
loop_
_atom_site_label
_atom_site_type_symbol
_atom_site_fract_x
_atom_site_fract_y
_atom_site_fract_z
K1 K 0.2378 0.7622 0.7500
K2 K 0.7622 0.2378 0.2500
Fe1 Fe 0.5000 0.5000 0.0000
Fe2 Fe 0.5000 0.5000 0.5000
Cu1 Cu 0.0268 0.9732 0.2500
Cu2 Cu 0.9732 0.0268 0.7500
Te1 Te 0.1179 0.8821 0.0366
Te2 Te 0.1179 0.8821 0.4634
Te3 Te 0.8821 0.1179 0.5366
Te4 Te 0.8821 0.1179 0.9634
S1 S 0.4457 0.5543 0.2500
S2 S 0.5543 0.4457 0.7500
# space group: Cmcm (63)
# mass density: 5.05 g cm⁻³
# VASP energy: -0.30853 Ry per atom

---

# 3
# KFeCuTeS2 | the Open Quantum Materials Database | GGA-PBE | relaxed
data_KFeCuTeS2
_symmetry_space_group_name_H-M 'P 1'
_symmetry_Int_Tables_number 1
_cell_length_a 7.9448
_cell_length_b 7.9448
_cell_length_c 9.7810
_cell_angle_alpha 90.00
_cell_angle_beta 90.00
_cell_angle_gamma 154.51
loop_
_symmetry_equiv_pos_as_xyz
'x,y,z'
loop_
_atom_site_label
_atom_site_type_symbol
_atom_site_fract_x
_atom_site_fract_y
_atom_site_fract_z
K1 K 0.2229 0.7771 0.7500
K2 K 0.7771 0.2229 0.2500
Fe1 Fe 0.0000 0.0000 0.0000
Fe2 Fe 0.0000 0.0000 0.5000
Cu1 Cu 0.4578 0.5422 0.2500
Cu2 Cu 0.5422 0.4578 0.7500
Te1 Te 0.0798 0.9202 0.2500
Te2 Te 0.9202 0.0798 0.7500
S1 S 0.4036 0.5964 0.0409
S2 S 0.4036 0.5964 0.4591
S3 S 0.5964 0.4036 0.5409
S4 S 0.5964 0.4036 0.9591
# space group: Cmcm (63)
# mass density: 4.38 g cm⁻³
# VASP energy: -0.32967 Ry per atom

---

# 4
# KFeCuSe3 | the Open Quantum Materials Database | GGA-PBE | relaxed
data_KFeCuSe3
_symmetry_space_group_name_H-M 'P 1'
_symmetry_Int_Tables_number 1
_cell_length_a 14.5686
_cell_length_b 3.7244
_cell_length_c 9.7937
_cell_angle_alpha 90.00
_cell_angle_beta 90.00
_cell_angle_gamma 90.00
loop_
_symmetry_equiv_pos_as_xyz
'x,y,z'
loop_
_atom_site_label
_atom_site_type_symbol
_atom_site_fract_x
_atom_site_fract_y
_atom_site_fract_z
K1 K 0.2338 0.2500 0.0483
K2 K 0.2662 0.7500 0.5483
K3 K 0.7338 0.2500 0.4517
K4 K 0.7662 0.7500 0.9517
Fe1 Fe 0.0147 0.2500 0.3330
Fe2 Fe 0.4853 0.7500 0.8330
Fe3 Fe 0.5147 0.2500 0.1670
Fe4 Fe 0.9853 0.7500 0.6670
Cu1 Cu 0.0135 0.7500 0.0908
Cu2 Cu 0.4865 0.2500 0.5908
Cu3 Cu 0.5135 0.7500 0.4092
Cu4 Cu 0.9865 0.2500 0.9092
Se1 Se 0.0727 0.2500 0.5680
Se2 Se 0.0904 0.7500 0.8607
Se3 Se 0.1202 0.7500 0.2769
Se4 Se 0.3798 0.2500 0.7769
Se5 Se 0.4096 0.2500 0.3607
Se6 Se 0.4273 0.7500 0.0680
Se7 Se 0.5727 0.2500 0.9320
Se8 Se 0.5904 0.7500 0.6393
Se9 Se 0.6202 0.7500 0.2231
Se10 Se 0.8798 0.2500 0.7231
Se11 Se 0.9096 0.2500 0.1393
Se12 Se 0.9273 0.7500 0.4320
# space group: Pnma (62)
# mass density: 4.94 g cm⁻³
# VASP energy: -0.32353 Ry per atom

---

# 5
# LaFeCuMo | the Open Quantum Materials Database | GGA-PBE | relaxed
data_LaFeCuMo
_symmetry_space_group_name_H-M 'P 1'
_symmetry_Int_Tables_number 1
_cell_length_a 4.5583
_cell_length_b 4.5583
_cell_length_c 4.5583
_cell_angle_alpha 60.00
_cell_angle_beta 60.00
_cell_angle_gamma 60.00
loop_
_symmetry_equiv_pos_as_xyz
'x,y,z'
loop_
_atom_site_label
_atom_site_type_symbol
_atom_site_fract_x
_atom_site_fract_y
_atom_site_fract_z
La1 La 0.0000 0.0000 0.0000
Fe1 Fe 0.7500 0.7500 0.7500
Cu1 Cu 0.5000 0.5000 0.5000
Mo1 Mo 0.2500 0.2500 0.2500
# space group: F-43m (216)
# mass density: 8.78 g cm⁻³
# calculated formation energy: 0.703 eV/atom

---

# 6
# LaFeCuMo | the Open Quantum Materials Database | GGA-PBE | relaxed
data_LaFeCuMo
_symmetry_space_group_name_H-M 'P 1'
_symmetry_Int_Tables_number 1
_cell_length_a 4.5425
_cell_length_b 4.5425
_cell_length_c 4.5425
_cell_angle_alpha 60.00
_cell_angle_beta 60.00
_cell_angle_gamma 60.00
loop_
_symmetry_equiv_pos_as_xyz
'x,y,z'
loop_
_atom_site_label
_atom_site_type_symbol
_atom_site_fract_x
_atom_site_fract_y
_atom_site_fract_z
La1 La 0.0000 0.0000 0.0000
Fe1 Fe 0.5000 0.5000 0.5000
Cu1 Cu 0.7500 0.7500 0.7500
Mo1 Mo 0.2500 0.2500 0.2500
# space group: F-43m (216)
# mass density: 8.88 g cm⁻³
# calculated formation energy: 0.583 eV/atom

---

> Look up the mass density of the second one.

5.05 g cm⁻³